Entry from the Alexandria database: crystalline BeWAu3 at its relaxed geometry (PBE-GGA).

Cell lengths 4.357, 4.357, 4.357 Å; angles 90.00, 90.00, 90.00 degrees
Space group Pm-3m (No. 221)
Inequivalent atoms, fractional coordinates:
Be1 0.000 0.000 0.000 [1 per cell]
W1 0.500 0.500 0.500 [1 per cell]
Au1 0.000 0.000 0.500 [3 per cell]

For the relative energy among the computed polymorphs, the calculation gives 0 meV/atom. The calculated density is 15736 kg/m3. For the formation energy from the elements, the calculation gives 0.77 eV/atom.

=====

Entry from the Alexandria database: crystalline Nd4Tl5Ag at its relaxed geometry (PBE-GGA).

Cell lengths 17.175, 5.303, 6.596 Å; angles 90.00, 106.74, 90.00 degrees
Space group C2/m (No. 12)
Inequivalent atoms, fractional coordinates:
Nd1 0.090 0.000 0.318 [4 per cell]
Nd2 0.194 0.500 0.808 [4 per cell]
Tl1 0.000 0.500 0.000 [2 per cell]
Tl2 0.100 0.000 0.831 [4 per cell]
Tl3 0.210 0.500 0.321 [4 per cell]
Ag1 0.000 0.500 0.500 [2 per cell]

The calculated density is 9853 kg/m3. For the formation energy from the elements, the calculation gives -0.30 eV/atom.

=====

Entry from the Alexandria database: crystalline HgAs2Ru at its relaxed geometry (PBE-GGA).

Cell lengths 7.364, 3.075, 8.273 Å; angles 90.00, 107.77, 90.00 degrees
Space group C2/m (No. 12)
Inequivalent atoms, fractional coordinates:
Hg1 0.000 0.000 0.000 [2 per cell]
As1 0.149 0.000 0.338 [4 per cell]
Ru1 0.000 0.500 0.500 [2 per cell]

The calculated density is 8405 kg/m3. For the formation energy from the elements, the calculation gives -0.02 eV/atom.

=====

Entry from the Alexandria database: crystalline ReMo4Se at its relaxed geometry (PBE-GGA).

Cell lengths 7.374, 7.374, 7.374 Å; angles 90.00, 90.00, 90.00 degrees
Space group F-43m (No. 216)
Inequivalent atoms, fractional coordinates:
Re1 0.000 0.000 0.000 [4 per cell]
Mo1 0.124 0.124 0.376 [16 per cell]
Se1 0.250 0.250 0.750 [4 per cell]

For the formation energy from raw total energies, the calculation gives 703 meV per atom. The calculated density is 10749 kg/m3.

=====

Entry from the Alexandria database: crystalline LiHgCl3 at its relaxed geometry (PBE-GGA).

Cell lengths 5.293, 5.293, 5.293 Å; angles 90.00, 90.00, 90.00 degrees
Space group Pm-3m (No. 221)
Inequivalent atoms, fractional coordinates:
Li1 0.000 0.000 0.000 [1 per cell]
Hg1 0.500 0.500 0.500 [1 per cell]
Cl1 0.000 0.500 0.500 [3 per cell]

For the formation energy from raw total energies, the calculation gives -744 meV per atom. For the relative energy among the computed polymorphs, the calculation gives 311 meV/atom. The calculated density is 3514 kg/m3.

=====

Entry from the Alexandria database: crystalline TbNdMgGe at its relaxed geometry (PBE-GGA).

Cell lengths 7.385, 7.385, 7.385 Å; angles 90.00, 90.00, 90.00 degrees
Space group F-43m (No. 216)
Inequivalent atoms, fractional coordinates:
Tb1 0.000 0.000 0.000 [4 per cell]
Nd1 0.000 0.000 0.500 [4 per cell]
Mg1 0.250 0.250 0.250 [4 per cell]
Ge1 0.250 0.250 0.750 [4 per cell]

The calculated density is 6599 kg/m3. For the formation energy from the elements, the calculation gives -0.36 eV/atom.

=====

Entry from the Alexandria database: crystalline DyBe4Pt4 at its relaxed geometry (PBE-GGA).

Cell lengths 7.651, 7.651, 4.489 Å; angles 90.00, 90.00, 90.00 degrees
Space group P4_2/n (No. 86, origin choice 2)
Inequivalent atoms, fractional coordinates:
Dy1 0.250 0.250 0.250 [2 per cell]
Be1 0.060 0.909 0.151 [8 per cell]
Pt1 0.115 0.883 0.647 [8 per cell]

The calculated density is 12373 kg/m3. For the formation energy from the elements, the calculation gives -0.74 eV/atom.

=====

Entry from the Alexandria database: crystalline RbZrSc2Fe at its relaxed geometry (PBE-GGA).

Cell lengths 5.184, 5.184, 4.886 Å; angles 90.00, 90.00, 90.00 degrees
Space group P4/mmm (No. 123)
Inequivalent atoms, fractional coordinates:
Rb1 0.000 0.000 0.000 [1 per cell]
Zr1 0.500 0.500 0.000 [1 per cell]
Sc1 0.000 0.500 0.500 [2 per cell]
Fe1 0.500 0.500 0.500 [1 per cell]

The calculated density is 4078 kg/m3. For the formation energy from the elements, the calculation gives 0.44 eV/atom.

=====

no.,total moment (μB/f.u.),calculated volume (Å³/cell)
1,0.0,82.7
2,0.0,575.3
3,0.0,178.4
4,0.0,401.0
5,0.0,148.3
6,0.0,402.7
7,0.0,262.7
8,0.0,131.3